Entry 1:
VASP calculation (GGA-PBEsol) on crystalline GdCu at its relaxed geometry.

Summary:
Fermi-level density of states   1.6 states/eV/f.u.
Energy of formation   -17 kJ/mol of atoms

Structure (extended XYZ):
```
2
Lattice="3.437 0.000 0.000 0.000 3.437 0.000 0.000 0.000 3.437" Properties=species:S:1:pos:R:3 pbc="T T T"
Gd 0.000 0.000 0.000
Cu 1.719 1.719 1.719
```

Entry 2:
VASP calculation (GGA-PBEsol) on crystalline GdCu2 at its relaxed geometry.

Summary:
Fermi-level density of states   2.0 states/eV/f.u.
Energy of formation   -22 kJ/mol of atoms

Structure (extended XYZ):
```
12
Lattice="4.274 0.000 0.000 0.000 6.722 0.000 0.000 0.000 7.222" Properties=species:S:1:pos:R:3 pbc="T T T"
Gd 0.000 1.680 0.320
Gd 0.000 5.041 6.902
Gd 2.137 1.680 3.291
Gd 2.137 5.041 3.931
Cu 0.000 0.364 4.803
Cu 0.000 2.997 4.803
Cu 0.000 3.725 2.420
Cu 0.000 6.358 2.420
Cu 2.137 0.364 6.031
Cu 2.137 2.997 6.031
Cu 2.137 3.725 1.192
Cu 2.137 6.358 1.192
```

Entry 3:
VASP calculation (GGA-PBEsol) on crystalline GdCuGe at its relaxed geometry.

Summary:
Fermi-level density of states   0.4 states/eV/f.u.
Energy of formation   -69 kJ/mol of atoms

Structure (extended XYZ):
```
6
Lattice="4.218 0.000 0.000 -2.109 3.653 0.000 0.000 0.000 7.274" Properties=species:S:1:pos:R:3 pbc="T T T"
Gd 0.000 0.000 0.000
Gd 0.000 0.000 3.637
Cu 0.000 2.435 1.640
Cu 2.109 1.218 5.277
Ge 0.000 2.435 5.604
Ge 2.109 1.218 1.967
```

Entry 4:
VASP calculation (GGA-PBEsol) on crystalline Gd3CuGeS7 at its relaxed geometry.

Structure (extended XYZ):
```
24
Lattice="9.845 0.000 0.000 -4.923 8.526 0.000 0.000 0.000 5.691" Properties=species:S:1:pos:R:3 pbc="T T T"
Gd -0.477 3.043 0.000
Gd -2.049 7.418 0.000
Gd 2.397 1.935 2.846
Gd 2.526 6.592 0.000
Gd 6.971 1.108 2.846
Gd 5.400 5.483 2.846
Cu 0.000 0.000 0.190
Cu 0.000 0.000 3.035
Ge 0.000 5.684 2.380
Ge 4.923 2.842 5.225
S -0.332 2.192 2.959
S -1.894 4.941 1.470
S -2.859 7.717 2.959
S 1.733 1.383 0.113
S 0.000 5.684 4.560
S 1.590 4.415 1.470
S 0.304 7.696 1.470
S 4.619 0.831 4.316
S 3.332 4.111 4.316
S 4.923 2.842 1.715
S 3.190 7.143 2.959
S 7.781 0.809 0.113
S 6.816 3.585 4.316
S 5.254 6.334 0.113
```

Entry 5:
VASP calculation (GGA-PBEsol) on crystalline Gd3CuGeSe7 at its relaxed geometry.

Structure (extended XYZ):
```
24
Lattice="10.279 0.000 0.000 -5.139 8.902 0.000 0.000 0.000 5.970" Properties=species:S:1:pos:R:3 pbc="T T T"
Gd -0.469 3.164 0.000
Gd -2.164 7.726 0.000
Gd 2.506 1.989 2.985
Gd 2.634 6.913 0.000
Gd 7.304 1.176 2.985
Gd 5.609 5.737 2.985
Cu 0.000 0.000 2.777
Cu 0.000 0.000 5.762
Ge 0.000 5.934 3.483
Ge 5.139 2.967 0.499
Se -2.015 5.128 4.465
Se -0.330 2.319 2.866
Se -2.966 8.028 2.866
Se 1.843 1.445 5.850
Se 0.000 5.934 1.153
Se 1.706 4.593 4.465
Se 0.309 8.083 4.465
Se 4.830 0.819 1.480
Se 3.434 4.309 1.480
Se 5.139 2.967 4.138
Se 3.296 7.457 2.866
Se 8.106 0.874 5.850
Se 5.469 6.583 5.850
Se 7.154 3.774 1.480
```

Entry 6:
VASP calculation (GGA-PBEsol) on crystalline GdInCu4 at its relaxed geometry.

Summary:
Fermi-level density of states   0.4 states/eV/f.u.
Energy of formation   -27 kJ/mol of atoms

Structure (extended XYZ):
```
6
Lattice="0.000 3.573 3.573 3.573 0.000 3.573 3.573 3.573 0.000" Properties=species:S:1:pos:R:3 pbc="T T T"
Gd 0.000 0.000 0.000
In 1.786 1.786 1.786
Cu 4.462 2.684 2.684
Cu 2.684 4.462 2.684
Cu 2.684 2.684 4.462
Cu 4.462 4.462 4.462
```

Entry 7:
VASP calculation (GGA-PBEsol) on crystalline KGd2CuMo4O16 at its relaxed geometry.

Structure (extended XYZ):
```
48
Lattice="2.616 -6.283 0.000 2.616 6.283 0.000 -1.373 0.000 19.358" Properties=species:S:1:pos:R:3 pbc="T T T"
K 1.587 5.866 14.519
K 2.273 -5.866 4.840
Gd 1.885 4.442 10.302
Gd 1.289 4.442 18.736
Gd 2.572 -4.442 0.622
Gd 1.975 -4.442 9.057
Cu 1.587 2.347 14.519
Cu 2.273 -2.347 4.840
Mo 2.071 3.091 6.826
Mo 2.476 3.091 2.854
Mo 1.258 0.778 17.556
Mo 1.916 0.778 11.482
Mo 1.944 -0.778 7.877
Mo 2.602 -0.778 1.802
Mo 1.385 -3.091 16.505
Mo 1.789 -3.091 12.533
O 1.723 4.603 3.283
O 1.075 3.299 8.357
O 1.010 2.624 5.508
O 1.159 1.928 2.570
O 0.459 2.114 18.538
O 0.535 0.244 10.425
O 0.887 0.615 7.700
O 2.823 4.603 6.396
O 1.222 -0.244 0.746
O 1.154 1.124 13.019
O 0.201 -0.615 17.379
O 0.473 -1.928 12.249
O 3.471 3.299 1.322
O 0.324 -2.624 15.188
O 1.840 -1.124 3.340
O 2.715 2.114 10.499
O 1.146 -2.114 8.859
O 2.020 1.124 16.019
O 3.536 2.624 4.171
O 0.389 -3.299 18.036
O 3.387 1.928 7.109
O 3.660 0.615 1.979
O 2.706 -1.124 6.340
O 2.638 0.244 18.612
O 1.037 -4.603 12.962
O 2.973 -0.615 11.659
O 3.325 -0.244 8.933
O 3.401 -2.114 0.820
O 2.701 -1.928 16.788
O 2.850 -2.624 13.850
O 2.785 -3.299 11.001
O 2.137 -4.603 16.075
```

Entry 8:
VASP calculation (GGA-PBEsol) on crystalline KGd2CuS4 at its relaxed geometry.

Structure (extended XYZ):
```
16
Lattice="1.966 -6.726 0.000 1.966 6.726 0.000 0.000 0.000 13.563" Properties=species:S:1:pos:R:3 pbc="T T T"
K 1.966 5.274 10.172
K 1.966 -5.274 3.391
Gd 1.966 1.808 7.622
Gd 1.966 1.808 12.722
Gd 1.966 -1.808 0.841
Gd 1.966 -1.808 5.940
Cu 1.966 4.541 3.391
Cu 1.966 -4.541 10.172
S 0.000 0.000 0.000
S 0.000 0.000 6.781
S 1.966 3.184 1.537
S 1.966 3.184 5.245
S 1.966 0.933 10.172
S 1.966 -0.933 3.391
S 1.966 -3.184 8.318
S 1.966 -3.184 12.026
```

Calculated total energy values, unit eV/atom, following the record order: -9.57 -7.93 -8.62 -8.46 -7.95 -6.08 -9.19 -8.19.